HfZnGe2: optimized geometry, PBE.

Cell: 7.149 7.149 5.829 Å, 52.17 52.17 90.00°
Sites, in units of the cell vectors:
1 Ge 0.595 0.125 0.250
2 Ge 0.155 0.625 0.250
3 Ge 0.375 0.405 0.750
4 Ge 0.875 0.845 0.750
5 Hf 0.000 0.000 0.000
6 Hf 0.750 0.250 0.500
7 Zn 0.500 0.500 0.000
8 Zn 0.250 0.750 0.500

Output
Space group: I-42d, No. 122
Total magnetic moment in μB/cell: 0.00



HfZn3Ge: optimized geometry, PBE.

Cell: 5.153 5.153 5.153 Å, 90.00 90.00 90.00°
Sites, in units of the cell vectors:
1 Ge 0.500 0.500 0.500
2 Hf 0.000 0.000 0.000
3 Zn 0.000 0.500 0.000
4 Zn 0.000 0.000 0.500
5 Zn 0.500 0.000 0.000

Output
Space group: Pm-3m, No. 221
Total magnetic moment in μB/cell: 0.00



HfZnGe2: optimized geometry, PBE.

Cell: 3.123 3.123 9.465 Å, 80.50 80.50 60.00°
Sites, in units of the cell vectors:
1 Ge 0.088 0.088 0.737
2 Ge 0.912 0.912 0.263
3 Hf 0.500 0.500 0.500
4 Zn 0.000 0.000 0.000

Output
Space group: R-3m, No. 166
Total magnetic moment in μB/cell: 0.00



Hf3ZnGe2: optimized geometry, PBE.

Cell: 3.921 10.246 11.006 Å, 90.00 90.00 90.00°
Sites, in units of the cell vectors:
1 Hf 0.250 0.382 0.037
2 Hf 0.750 0.618 0.963
3 Hf 0.750 0.882 0.463
4 Hf 0.250 0.118 0.537
5 Hf 0.250 0.697 0.204
6 Hf 0.750 0.303 0.796
7 Hf 0.750 0.197 0.296
8 Hf 0.250 0.803 0.704
9 Hf 0.250 0.425 0.373
10 Hf 0.750 0.575 0.627
11 Hf 0.750 0.925 0.127
12 Hf 0.250 0.075 0.873
13 Zn 0.250 0.125 0.134
14 Zn 0.750 0.875 0.866
15 Zn 0.750 0.625 0.366
16 Zn 0.250 0.375 0.634
17 Ge 0.250 0.688 0.481
18 Ge 0.750 0.312 0.519
19 Ge 0.750 0.188 0.019
20 Ge 0.250 0.812 0.981
21 Ge 0.250 0.979 0.310
22 Ge 0.750 0.021 0.690
23 Ge 0.750 0.479 0.190
24 Ge 0.250 0.521 0.810

Output
Space group: Pnma, No. 62
Total magnetic moment in μB/cell: 0.00



Hf2ZnGe: optimized geometry, PBE.

Cell: 3.776 5.402 7.737 Å, 110.91 90.00 90.00°
Sites, in units of the cell vectors:
1 Hf 0.750 0.208 0.428
2 Hf 0.250 0.792 0.572
3 Hf 0.250 0.789 0.075
4 Hf 0.750 0.211 0.925
5 Zn 0.250 0.332 0.208
6 Zn 0.750 0.668 0.792
7 Ge 0.750 0.660 0.292
8 Ge 0.250 0.340 0.708

Output
Space group: P2_1/m, No. 11
Total magnetic moment in μB/cell: 0.00



HfZn2Ge: optimized geometry, PBE.

Cell: 7.381 7.381 5.865 Å, 51.01 51.01 90.00°
Sites, in units of the cell vectors:
1 Ge 0.500 0.500 0.000
2 Ge 0.250 0.750 0.500
3 Hf 0.000 0.000 0.000
4 Hf 0.750 0.250 0.500
5 Zn 0.594 0.125 0.250
6 Zn 0.156 0.625 0.250
7 Zn 0.375 0.406 0.750
8 Zn 0.875 0.844 0.750

Output
Space group: I-42d, No. 122
Total magnetic moment in μB/cell: 0.00



HfZn2Ge: optimized geometry, PBE.

Cell: 3.006 3.006 10.013 Å, 81.37 81.37 60.00°
Sites, in units of the cell vectors:
1 Ge 0.500 0.500 0.500
2 Hf 0.000 0.000 0.000
3 Zn 0.094 0.094 0.719
4 Zn 0.906 0.906 0.281

Output
Space group: R-3m, No. 166
Total magnetic moment in μB/cell: 0.00



HfZnGe2: optimized geometry, PBE.

Cell: 3.853 3.853 9.274 Å, 90.00 90.00 90.00°
Sites, in units of the cell vectors:
1 Hf 0.000 0.500 0.269
2 Hf 0.500 0.000 0.731
3 Zn 0.000 0.000 0.000
4 Zn 0.500 0.500 0.000
5 Ge 0.000 0.500 0.799
6 Ge 0.500 0.000 0.201
7 Ge 0.000 0.000 0.500
8 Ge 0.500 0.500 0.500

Output
Space group: P4/nmm, No. 129
Total magnetic moment in μB/cell: 0.00



HfZrGe2: optimized geometry, PBE.

Cell: 4.755 4.755 4.755 Å, 60.00 60.00 60.00°
Sites, in units of the cell vectors:
1 Ge 0.250 0.250 0.250
2 Ge 0.750 0.750 0.750
3 Hf 0.500 0.500 0.500
4 Zr 0.000 0.000 0.000

Output
Space group: Fm-3m, No. 225
Total magnetic moment in μB/cell: 0.00



HfZrGe2: optimized geometry, PBE.

Cell: 3.878 3.878 6.634 Å, 73.01 73.01 60.00°
Sites, in units of the cell vectors:
1 Ge 0.251 0.251 0.247
2 Ge 0.749 0.749 0.753
3 Hf 0.000 0.000 0.000
4 Zr 0.500 0.500 0.500

Output
Space group: R-3m, No. 166
Total magnetic moment in μB/cell: 0.00



Hf2ZrGe2: optimized geometry, PBE.

Cell: 3.582 3.582 8.662 Å, 78.07 78.07 90.00°
Sites, in units of the cell vectors:
1 Ge 0.750 0.250 0.500
2 Ge 0.250 0.750 0.500
3 Hf 0.387 0.387 0.226
4 Hf 0.613 0.613 0.774
5 Zr 0.000 0.000 0.000

Output
Space group: I4/mmm, No. 139
Total magnetic moment in μB/cell: 0.00



Hf2ZrGe2: optimized geometry, PBE.

Cell: 7.203 7.203 3.702 Å, 90.00 90.00 90.00°
Sites, in units of the cell vectors:
1 Ge 0.370 0.870 0.000
2 Ge 0.870 0.630 0.000
3 Ge 0.630 0.130 0.000
4 Ge 0.130 0.370 0.000
5 Hf 0.171 0.671 0.500
6 Hf 0.671 0.829 0.500
7 Hf 0.829 0.329 0.500
8 Hf 0.329 0.171 0.500
9 Zr 0.000 0.000 0.000
10 Zr 0.500 0.500 0.000

Output
Space group: P4/mbm, No. 127
Total magnetic moment in μB/cell: 0.00



Energy relative to the elements? In order: 0.0054; 1.1079; -0.0459; -0.4816; -0.4853; -0.0092; 0.3574; -0.3432; -0.3333; -0.6693; 0.0202; -0.7262 eV/atom.